VASP calculation (GGA-PBE) on crystalline VCoP2Cl at its relaxed geometry. Values from VASP.

Total energy = -5.1327 eV/atom
Total moment = 2.93 Bohr magnetons per cell
Theoretical density = 3494 kg/m3

Structure (Quantum ESPRESSO input):
```
&SYSTEM
  ibrav = 0, nat = 5, ntyp = 4
/
ATOMIC_SPECIES
V 50.94 V.upf
Co 58.93 Co.upf
P 30.97 P.upf
Cl 35.45 Cl.upf
CELL_PARAMETERS angstrom
4.427 0.000 0.000
0.000 4.427 0.000
0.000 0.000 5.026
ATOMIC_POSITIONS angstrom
V 0.000 0.000 0.000
Co 0.000 0.000 2.513
P 0.000 2.214 0.000
P 2.214 0.000 0.000
Cl 2.214 2.214 2.513
```


VASP calculation (GGA-PBE) on crystalline VCoP2Cl at its relaxed geometry. Values from VASP.

Total energy = -5.0920 eV/atom
Total moment = 0.17 Bohr magnetons per cell
Theoretical density = 4059 kg/m3

Structure (Quantum ESPRESSO input):
```
&SYSTEM
  ibrav = 0, nat = 5, ntyp = 4
/
ATOMIC_SPECIES
V 50.94 V.upf
Co 58.93 Co.upf
P 30.97 P.upf
Cl 35.45 Cl.upf
CELL_PARAMETERS angstrom
4.272 0.000 0.000
0.000 4.272 0.000
0.000 0.000 4.647
ATOMIC_POSITIONS angstrom
V 0.000 0.000 0.000
Co 2.136 2.136 2.323
P 0.000 2.136 2.323
P 2.136 0.000 2.323
Cl 2.136 2.136 0.000
```


VASP calculation (GGA-PBE) on crystalline YCoP2Cl at its relaxed geometry. Values from VASP.

Total energy = -5.6333 eV/atom
Total moment = 0.95 Bohr magnetons per cell
Theoretical density = 4402 kg/m3

Structure (Quantum ESPRESSO input):
```
&SYSTEM
  ibrav = 0, nat = 5, ntyp = 4
/
ATOMIC_SPECIES
Y 88.91 Y.upf
Co 58.93 Co.upf
P 30.97 P.upf
Cl 35.45 Cl.upf
CELL_PARAMETERS angstrom
4.366 0.000 0.000
0.000 4.366 0.000
0.000 0.000 4.853
ATOMIC_POSITIONS angstrom
Y 0.000 0.000 0.000
Co 2.183 2.183 2.427
P 0.000 2.183 2.427
P 2.183 0.000 2.427
Cl 2.183 2.183 0.000
```


VASP calculation (GGA-PBE) on crystalline YCoP2Cl at its relaxed geometry. Values from VASP.

Total energy = -4.6289 eV/atom
Total moment = 2.89 Bohr magnetons per cell
Theoretical density = 2811 kg/m3

Structure (Quantum ESPRESSO input):
```
&SYSTEM
  ibrav = 0, nat = 5, ntyp = 4
/
ATOMIC_SPECIES
Y 88.91 Y.upf
Co 58.93 Co.upf
P 30.97 P.upf
Cl 35.45 Cl.upf
CELL_PARAMETERS angstrom
5.323 0.000 0.000
0.000 5.323 0.000
0.000 0.000 5.112
ATOMIC_POSITIONS angstrom
Y 0.000 0.000 0.000
Co 2.662 2.662 2.556
P 0.000 2.662 0.000
P 2.662 0.000 0.000
Cl 0.000 0.000 2.556
```


VASP calculation (GGA-PBE) on crystalline ZnCoPCl2 at its relaxed geometry. Values from VASP.

Total energy = -2.8347 eV/atom
Total moment = 1.54 Bohr magnetons per cell
Theoretical density = 3370 kg/m3

Structure (Quantum ESPRESSO input):
```
&SYSTEM
  ibrav = 0, nat = 5, ntyp = 4
/
ATOMIC_SPECIES
Zn 65.41 Zn.upf
Co 58.93 Co.upf
P 30.97 P.upf
Cl 35.45 Cl.upf
CELL_PARAMETERS angstrom
4.654 0.000 0.000
0.000 4.654 0.000
0.000 0.000 5.146
ATOMIC_POSITIONS angstrom
Zn 0.000 0.000 0.000
Co 2.327 2.327 2.573
P 0.000 0.000 2.573
Cl 0.000 2.327 0.000
Cl 2.327 0.000 0.000
```


VASP calculation (GGA-PBE) on crystalline ZnCoPCl2 at its relaxed geometry. Values from VASP.

Total energy = -3.3364 eV/atom
Total moment = 0.00 Bohr magnetons per cell
Theoretical density = 3868 kg/m3

Structure (Quantum ESPRESSO input):
```
&SYSTEM
  ibrav = 0, nat = 5, ntyp = 4
/
ATOMIC_SPECIES
Zn 65.41 Zn.upf
Co 58.93 Co.upf
P 30.97 P.upf
Cl 35.45 Cl.upf
CELL_PARAMETERS angstrom
4.736 0.000 0.000
0.000 4.736 0.000
0.000 0.000 4.330
ATOMIC_POSITIONS angstrom
Zn 0.000 0.000 0.000
Co 2.368 2.368 2.165
P 2.368 2.368 0.000
Cl 0.000 2.368 2.165
Cl 2.368 0.000 2.165
```


VASP calculation (GGA-PBE) on crystalline ZrCoP2Cl at its relaxed geometry. Values from VASP.

Total energy = -5.1545 eV/atom
Total moment = 2.54 Bohr magnetons per cell
Theoretical density = 3258 kg/m3

Structure (Quantum ESPRESSO input):
```
&SYSTEM
  ibrav = 0, nat = 5, ntyp = 4
/
ATOMIC_SPECIES
Zr 91.22 Zr.upf
Co 58.93 Co.upf
P 30.97 P.upf
Cl 35.45 Cl.upf
CELL_PARAMETERS angstrom
5.064 0.000 0.000
0.000 5.064 0.000
0.000 0.000 4.920
ATOMIC_POSITIONS angstrom
Zr 0.000 0.000 0.000
Co 2.532 2.532 2.460
P 0.000 2.532 0.000
P 2.532 0.000 0.000
Cl 0.000 0.000 2.460
```


VASP calculation (GGA-PBE) on crystalline ZrCoP2Cl at its relaxed geometry. Values from VASP.

Total energy = -5.6166 eV/atom
Total moment = 0.00 Bohr magnetons per cell
Theoretical density = 4778 kg/m3

Structure (Quantum ESPRESSO input):
```
&SYSTEM
  ibrav = 0, nat = 5, ntyp = 4
/
ATOMIC_SPECIES
Zr 91.22 Zr.upf
Co 58.93 Co.upf
P 30.97 P.upf
Cl 35.45 Cl.upf
CELL_PARAMETERS angstrom
4.374 0.000 0.000
0.000 4.374 0.000
0.000 0.000 4.497
ATOMIC_POSITIONS angstrom
Zr 0.000 0.000 0.000
Co 2.187 2.187 2.249
P 0.000 2.187 2.249
P 2.187 0.000 2.249
Cl 2.187 2.187 0.000
```


VASP calculation (GGA-PBE) on crystalline PaCoCl6 at its relaxed geometry. Values from VASP.

Total energy = -4.8940 eV/atom
Total moment = 4.42 Bohr magnetons per cell
Theoretical density = 3167 kg/m3

Structure (Quantum ESPRESSO input):
```
&SYSTEM
  ibrav = 0, nat = 16, ntyp = 3
/
ATOMIC_SPECIES
Pa 231.04 Pa.upf
Co 58.93 Co.upf
Cl 35.45 Cl.upf
CELL_PARAMETERS angstrom
7.065 0.000 0.000
0.000 12.212 0.000
-0.140 0.000 6.109
ATOMIC_POSITIONS angstrom
Pa 0.000 0.000 0.000
Pa 3.533 6.106 0.000
Co -0.070 0.000 3.054
Co 3.463 6.106 3.054
Cl 0.971 1.752 1.641
Cl 0.971 10.461 1.641
Cl 1.472 6.106 1.570
Cl 1.920 0.000 4.539
Cl 2.421 4.354 4.467
Cl 2.421 7.858 4.467
Cl 4.504 4.354 1.641
Cl 4.504 7.858 1.641
Cl 5.005 0.000 1.570
Cl 5.453 6.106 4.539
Cl 5.954 1.752 4.467
Cl 5.954 10.461 4.467
```


VASP calculation (GGA-PBE) on crystalline PaCoCl at its relaxed geometry. Values from VASP.

Total energy = -6.5877 eV/atom
Total moment = 0.00 Bohr magnetons per cell
Theoretical density = 7463 kg/m3

Structure (Quantum ESPRESSO input):
```
&SYSTEM
  ibrav = 0, nat = 6, ntyp = 3
/
ATOMIC_SPECIES
Pa 231.04 Pa.upf
Co 58.93 Co.upf
Cl 35.45 Cl.upf
CELL_PARAMETERS angstrom
0.000 3.591 6.666
3.025 0.000 6.666
3.025 3.591 0.000
ATOMIC_POSITIONS angstrom
Pa 3.025 3.591 2.278
Pa 3.025 3.591 11.054
Co 1.512 1.795 3.333
Co 4.537 5.386 9.999
Cl 4.508 3.591 6.666
Cl 1.542 3.591 6.666
```


VASP calculation (GGA-PBE) on crystalline PrPaCoCl at its relaxed geometry. Values from VASP.

Total energy = -6.6406 eV/atom
Total moment = 0.00 Bohr magnetons per cell
Theoretical density = 7343 kg/m3

Structure (Quantum ESPRESSO input):
```
&SYSTEM
  ibrav = 0, nat = 8, ntyp = 4
/
ATOMIC_SPECIES
Pr 140.91 Pr.upf
Pa 231.04 Pa.upf
Co 58.93 Co.upf
Cl 35.45 Cl.upf
CELL_PARAMETERS angstrom
1.979 1.143 15.548
-1.979 1.143 15.548
0.000 -2.285 15.548
ATOMIC_POSITIONS angstrom
Pr 0.000 0.000 4.165
Pr 0.000 0.000 42.478
Pa 0.000 0.000 14.452
Pa 0.000 0.000 32.191
Co 0.000 0.000 17.783
Co 0.000 0.000 28.860
Cl 0.000 0.000 9.576
Cl 0.000 0.000 37.067
```


VASP calculation (GGA-PBE) on crystalline YPaCoCl at its relaxed geometry. Values from VASP.

Total energy = -7.1242 eV/atom
Total moment = 0.00 Bohr magnetons per cell
Theoretical density = 6969 kg/m3

Structure (Quantum ESPRESSO input):
```
&SYSTEM
  ibrav = 0, nat = 8, ntyp = 4
/
ATOMIC_SPECIES
Y 88.91 Y.upf
Pa 231.04 Pa.upf
Co 58.93 Co.upf
Cl 35.45 Cl.upf
CELL_PARAMETERS angstrom
1.932 1.116 15.264
-1.932 1.116 15.264
0.000 -2.231 15.264
ATOMIC_POSITIONS angstrom
Y 0.000 0.000 4.107
Y 0.000 0.000 41.684
Pa 0.000 0.000 14.163
Pa 0.000 0.000 31.627
Co 0.000 0.000 17.532
Co 0.000 0.000 28.258
Cl 0.000 0.000 9.446
Cl 0.000 0.000 36.345
```


VASP calculation (GGA-PBE) on crystalline Co2PbCl at its relaxed geometry. Values from VASP.

Total energy = -4.3669 eV/atom
Total moment = 6.60 Bohr magnetons per cell
Theoretical density = 8178 kg/m3

Structure (Quantum ESPRESSO input):
```
&SYSTEM
  ibrav = 0, nat = 8, ntyp = 3
/
ATOMIC_SPECIES
Co 58.93 Co.upf
Pb 207.20 Pb.upf
Cl 35.45 Cl.upf
CELL_PARAMETERS angstrom
3.173 0.000 0.000
0.000 5.832 0.000
0.000 0.000 7.911
ATOMIC_POSITIONS angstrom
Co 0.000 0.000 1.799
Co 0.000 0.000 6.112
Co 1.587 2.916 1.799
Co 1.587 2.916 6.112
Pb 0.000 2.916 3.956
Pb 1.587 0.000 3.956
Cl 0.000 2.916 0.000
Cl 1.587 0.000 0.000
```


VASP calculation (GGA-PBE) on crystalline Co2PbCl at its relaxed geometry. Values from VASP.

Total energy = -4.6093 eV/atom
Total moment = 2.98 Bohr magnetons per cell
Theoretical density = 7526 kg/m3

Structure (Quantum ESPRESSO input):
```
&SYSTEM
  ibrav = 0, nat = 4, ntyp = 3
/
ATOMIC_SPECIES
Co 58.93 Co.upf
Pb 207.20 Pb.upf
Cl 35.45 Cl.upf
CELL_PARAMETERS angstrom
3.170 0.000 0.000
0.000 4.107 0.000
0.000 0.000 6.109
ATOMIC_POSITIONS angstrom
Co 0.000 0.000 1.108
Co 0.000 0.000 5.001
Pb 1.585 2.054 0.000
Cl 1.585 0.000 3.054
```


VASP calculation (GGA-PBE) on crystalline Co2PbCl at its relaxed geometry. Values from VASP.

Total energy = -4.5045 eV/atom
Total moment = 4.00 Bohr magnetons per cell
Theoretical density = 8011 kg/m3

Structure (Quantum ESPRESSO input):
```
&SYSTEM
  ibrav = 0, nat = 16, ntyp = 3
/
ATOMIC_SPECIES
Co 58.93 Co.upf
Pb 207.20 Pb.upf
Cl 35.45 Cl.upf
CELL_PARAMETERS angstrom
4.669 0.000 0.000
0.000 4.669 0.000
0.000 0.000 13.711
ATOMIC_POSITIONS angstrom
Co 0.448 1.167 1.714
Co 1.167 2.783 5.142
Co 1.167 4.221 11.997
Co 1.887 1.167 8.569
Co 2.783 3.502 8.569
Co 3.502 0.448 11.997
Co 3.502 1.887 5.142
Co 4.221 3.502 1.714
Pb 0.000 0.000 6.855
Pb 0.000 2.335 10.283
Pb 2.335 0.000 3.428
Pb 2.335 2.335 0.000
Cl 0.000 0.000 0.000
Cl 0.000 2.335 3.428
Cl 2.335 0.000 10.283
Cl 2.335 2.335 6.855
```


VASP calculation (GGA-PBE) on crystalline Co2PbCl at its relaxed geometry. Values from VASP.

Total energy = -4.7491 eV/atom
Total moment = 3.71 Bohr magnetons per cell
Theoretical density = 7609 kg/m3

Structure (Quantum ESPRESSO input):
```
&SYSTEM
  ibrav = 0, nat = 4, ntyp = 3
/
ATOMIC_SPECIES
Co 58.93 Co.upf
Pb 207.20 Pb.upf
Cl 35.45 Cl.upf
CELL_PARAMETERS angstrom
3.207 0.000 0.000
0.000 3.207 0.000
0.000 0.000 7.652
ATOMIC_POSITIONS angstrom
Co 0.000 0.000 0.000
Co 1.603 1.603 0.945
Pb 0.000 0.000 2.881
Cl 1.603 1.603 6.233
```


VASP calculation (GGA-PBE) on crystalline CoPb4Cl2 at its relaxed geometry. Values from VASP.

Total energy = -3.8350 eV/atom
Total moment = 0.00 Bohr magnetons per cell
Theoretical density = 7216 kg/m3

Structure (Quantum ESPRESSO input):
```
&SYSTEM
  ibrav = 0, nat = 14, ntyp = 3
/
ATOMIC_SPECIES
Co 58.93 Co.upf
Pb 207.20 Pb.upf
Cl 35.45 Cl.upf
CELL_PARAMETERS angstrom
4.871 0.000 0.000
0.000 4.871 0.000
0.000 0.000 18.592
ATOMIC_POSITIONS angstrom
Co 0.000 0.000 0.000
Co 2.436 2.436 9.296
Pb 0.000 0.000 2.718
Pb 0.000 0.000 15.874
Pb 0.000 2.436 0.000
Pb 0.000 2.436 9.296
Pb 2.436 0.000 0.000
Pb 2.436 0.000 9.296
Pb 2.436 2.436 6.578
Pb 2.436 2.436 12.014
Cl 0.000 0.000 6.367
Cl 0.000 0.000 12.225
Cl 2.436 2.436 2.929
Cl 2.436 2.436 15.663
```


VASP calculation (GGA-PBE) on crystalline Co2PbCl at its relaxed geometry. Values from VASP.

Total energy = -4.7727 eV/atom
Total moment = 4.09 Bohr magnetons per cell
Theoretical density = 6808 kg/m3

Structure (Quantum ESPRESSO input):
```
&SYSTEM
  ibrav = 0, nat = 4, ntyp = 3
/
ATOMIC_SPECIES
Co 58.93 Co.upf
Pb 207.20 Pb.upf
Cl 35.45 Cl.upf
CELL_PARAMETERS angstrom
3.440 0.000 0.000
0.000 3.444 0.000
-0.080 0.000 7.421
ATOMIC_POSITIONS angstrom
Co 0.000 0.000 0.000
Co 1.640 1.722 7.420
Pb 0.000 1.722 2.252
Cl 1.642 0.000 5.713
```


VASP calculation (GGA-PBE) on crystalline Co2PbCl at its relaxed geometry. Values from VASP.

Total energy = -4.2806 eV/atom
Total moment = 5.45 Bohr magnetons per cell
Theoretical density = 8276 kg/m3

Structure (Quantum ESPRESSO input):
```
&SYSTEM
  ibrav = 0, nat = 8, ntyp = 3
/
ATOMIC_SPECIES
Co 58.93 Co.upf
Pb 207.20 Pb.upf
Cl 35.45 Cl.upf
CELL_PARAMETERS angstrom
3.644 0.000 0.000
0.000 3.644 0.000
0.000 0.000 10.894
ATOMIC_POSITIONS angstrom
Co 0.000 0.000 0.000
Co 0.000 1.822 2.724
Co 1.822 0.000 8.171
Co 1.822 1.822 5.447
Pb 0.000 1.822 8.171
Pb 1.822 0.000 2.724
Cl 0.000 0.000 5.447
Cl 1.822 1.822 0.000
```


VASP calculation (GGA-PBE) on crystalline Co2PbCl at its relaxed geometry. Values from VASP.

Total energy = -4.2146 eV/atom
Total moment = 9.27 Bohr magnetons per cell
Theoretical density = 8984 kg/m3

Structure (Quantum ESPRESSO input):
```
&SYSTEM
  ibrav = 0, nat = 16, ntyp = 3
/
ATOMIC_SPECIES
Co 58.93 Co.upf
Pb 207.20 Pb.upf
Cl 35.45 Cl.upf
CELL_PARAMETERS angstrom
6.436 0.000 0.000
0.000 6.436 0.000
0.000 0.000 6.436
ATOMIC_POSITIONS angstrom
Co 1.609 1.609 1.609
Co 1.609 1.609 4.827
Co 1.609 4.827 1.609
Co 1.609 4.827 4.827
Co 4.827 1.609 1.609
Co 4.827 1.609 4.827
Co 4.827 4.827 1.609
Co 4.827 4.827 4.827
Pb 0.000 0.000 0.000
Pb 0.000 3.218 3.218
Pb 3.218 0.000 3.218
Pb 3.218 3.218 0.000
Cl 0.000 0.000 3.218
Cl 0.000 3.218 0.000
Cl 3.218 0.000 0.000
Cl 3.218 3.218 3.218
```